{"formula": "B7C5", "functional": "PBE", "state": "optimized geometry", "sg": "No. 115", "magmom_total_mub_per_fu": 0.0, "ef_mev_per_atom": 412, "dft_energy_ev_per_cell": -87.9, "dos_ef_per_ev_atom": 0.1073, "cell": [[-1.0780, 1.9462, -1.0355], [-2.0813, -0.5185, 1.1922], [3.9953, 7.7080, 10.3276]], "species": ["B", "B", "B", "B", "B", "B", "B", "C", "C", "C", "C", "C"], "frac_coords": [[0.5000, 0.0000, 0.9343], [0.5000, 0.5000, 0.4863], [0.5000, 0.0000, 0.5833], [0.0000, 0.0000, 0.6803], [0.0000, 0.5000, 0.7808], [0.5000, 0.0000, 0.2323], [0.0000, 0.5000, 0.3859], [0.5000, 0.5000, 0.8574], [0.5000, 0.5000, 0.1495], [0.0000, 0.0000, 0.3093], [0.0000, 0.0000, 0.0171], [0.0000, 0.5000, 0.0833]]}